The following is a DFT calculation (PBEsol) of a geometry-optimized AgHg2 structure.

Properties
Raw total energy: -1.431 eV per atom
Space-group type: No. 71

Cell lengths 3.208, 4.125, 9.008 Å; angles 90.00, 90.00, 90.00 degrees
Fractional coordinates of all 6 atoms:
Ag 0.000 0.000 0.000
Ag 0.500 0.500 0.500
Hg 0.000 0.000 0.337
Hg 0.000 0.000 0.663
Hg 0.500 0.500 0.163
Hg 0.500 0.500 0.837

The following is a DFT calculation (PBEsol) of a geometry-optimized ZnPtPb2 structure.

Properties
Raw total energy: -4.095 eV per atom
Space-group type: No. 44

Cell lengths 3.291, 5.129, 10.247 Å; angles 90.00, 90.00, 90.00 degrees
Fractional coordinates of all 8 atoms:
Zn 0.000 0.000 0.000
Zn 0.500 0.500 0.500
Pt 0.000 0.500 0.312
Pt 0.500 0.000 0.812
Pb 0.000 0.000 0.569
Pb 0.000 0.500 0.776
Pb 0.500 0.000 0.276
Pb 0.500 0.500 0.069

The following is a DFT calculation (PBEsol) of a geometry-optimized Zn4InSe structure.

Properties
Space-group type: No. 216
Formation energy from raw total energies: 0.1326 eV/atom

Cell lengths 5.283, 5.283, 5.283 Å; angles 60.00, 60.00, 60.00 degrees
Fractional coordinates of all 6 atoms:
Zn 0.376 0.376 0.376
Zn 0.376 0.376 0.873
Zn 0.376 0.873 0.376
Zn 0.873 0.376 0.376
In 0.750 0.750 0.750
Se 0.000 0.000 0.000

The following is a DFT calculation (PBEsol) of a geometry-optimized CoRuAu2 structure.

Properties
Raw total energy: -5.974 eV per atom
Space-group type: No. 123

Cell lengths 4.624, 4.624, 2.746 Å; angles 90.00, 90.00, 90.00 degrees
Fractional coordinates of all 4 atoms:
Co 0.000 0.000 0.000
Ru 0.500 0.500 0.000
Au 0.000 0.500 0.500
Au 0.500 0.000 0.500

The following is a DFT calculation (PBEsol) of a geometry-optimized Ca2CoSe structure.

Properties
Space-group type: No. 160
Formation energy from raw total energies: -0.6212 eV/atom

Cell lengths 3.954, 3.954, 21.853 Å; angles 90.00, 90.00, 120.00 degrees
Fractional coordinates of all 12 atoms:
Ca 0.000 0.000 0.000
Ca 0.000 0.000 0.178
Ca 0.333 0.667 0.667
Ca 0.333 0.667 0.844
Ca 0.667 0.333 0.333
Ca 0.667 0.333 0.511
Co 0.000 0.000 0.421
Co 0.333 0.667 0.088
Co 0.667 0.333 0.755
Se 0.000 0.000 0.756
Se 0.333 0.667 0.422
Se 0.667 0.333 0.089

The following is a DFT calculation (PBEsol) of a geometry-optimized KOsRh2 structure.

Properties
Raw total energy: -6.723 eV per atom
Space-group type: No. 99

Cell lengths 2.696, 2.696, 9.230 Å; angles 90.00, 90.00, 90.00 degrees
Fractional coordinates of all 4 atoms:
K 0.000 0.000 0.000
Os 0.500 0.500 0.308
Rh 0.000 0.000 0.504
Rh 0.500 0.500 0.708